Arrangement P

This record from Alexandria describes crystalline B3PIr at its relaxed geometry. The functional is PBE.

Cell and atoms, written as POSCAR:
```
B3PIr
1.0
4.1348 0.0000 0.0000
0.0000 4.1348 0.0000
0.0000 0.0000 4.1348
B P Ir
3 1 1
direct
0.5000 0.0000 0.0000 B
0.0000 0.0000 0.5000 B
0.0000 0.5000 0.0000 B
0.5000 0.5000 0.5000 P
0.0000 0.0000 0.0000 Ir
```

Values from the calculation:
Density   6.0 g/cm3
Total magnetization   1.695 μB/cell
Crystal system   cubic

Arrangement Q

This record from Alexandria describes crystalline B3PIr at its relaxed geometry. The functional is PBE.

Cell and atoms, written as POSCAR:
```
B3PIr
1.0
-2.8861 -2.3665 0.8336
2.4898 -2.8582 0.5062
0.3098 0.9247 3.6978
B P Ir
3 1 1
direct
0.5000 0.0000 0.0000 B
0.0000 0.5000 0.0000 B
0.0000 0.0000 0.5000 B
0.0000 0.0000 0.0000 P
0.5000 0.5000 0.5000 Ir
```

Values from the calculation:
Density   7.6 g/cm3
Total magnetization   0.000 μB/cell
Crystal system   cubic

Short version: arrangement Q is the least stable of them.

Arrangement P

This record from Alexandria describes crystalline PaBIr at its relaxed geometry. The functional is PBE.

Cell and atoms, written as POSCAR:
```
PaBIr
1.0
-2.1129 3.0323 1.0660
-2.9582 -2.3480 0.8155
2.5994 0.8520 2.7288
Ir B Pa
1 1 1
direct
0.1667 0.6667 0.3333 Ir
0.1668 0.0000 0.0000 B
0.6666 0.3333 0.6667 Pa
```

Values from the calculation:
Density   14.5 g/cm3
Total magnetization   0.000 μB/cell
Crystal system   hexagonal

Arrangement Q

This record from Alexandria describes crystalline PaBIr at its relaxed geometry. The functional is PBE.

Cell and atoms, written as POSCAR:
```
PaBIr
1.0
-1.2095 -1.0295 3.5419
2.8736 -6.9530 -1.0396
5.8591 2.0340 2.5920
Ir Pa B
4 4 4
direct
0.5000 0.0000 0.4164 Ir
0.0000 0.0000 0.9165 Ir
0.5000 0.5000 0.0835 Ir
0.0000 0.5000 0.5836 Ir
0.5000 0.2500 0.7500 Pa
0.5000 0.7500 0.7500 Pa
0.0000 0.7500 0.2500 Pa
0.0000 0.2500 0.2500 Pa
0.0000 0.5000 0.9166 B
0.0000 0.0000 0.5835 B
0.5000 0.0000 0.0834 B
0.5000 0.5000 0.4165 B
```

Values from the calculation:
Density   14.5 g/cm3
Total magnetization   0.000 μB/cell
Crystal system   hexagonal

Arrangement R

This record from Alexandria describes crystalline PaBIr at its relaxed geometry. The functional is PBE.

Cell and atoms, written as POSCAR:
```
PaBIr
1.0
-1.4850 -2.4097 0.6380
1.4784 -1.4493 -2.0330
3.7185 0.6052 4.3432
B Ir Pa
1 1 1
direct
0.9174 0.9174 0.8347 B
0.3283 0.3283 0.6565 Ir
0.6044 0.6044 0.2088 Pa
```

Values from the calculation:
Density   15.9 g/cm3
Total magnetization   0.311 μB/cell
Crystal system   tetragonal

Short version: arrangement R is the least stable of them.

Arrangement P

This record from Alexandria describes crystalline PaB3Ir3 at its relaxed geometry. The functional is PBE.

Cell and atoms, written as POSCAR:
```
PaB3Ir3
1.0
3.6897 0.0000 0.0000
0.0000 6.8075 -3.8864
0.0000 -0.0377 7.8388
Ir B Pa
6 6 2
direct
0.2500 0.6574 0.7288 Ir
0.7500 0.3426 0.2712 Ir
0.2500 0.0714 0.3426 Ir
0.7500 0.9286 0.6574 Ir
0.2500 0.2712 0.9286 Ir
0.7500 0.7288 0.0714 Ir
0.2500 0.0522 0.6226 B
0.7500 0.4296 0.0522 B
0.2500 0.3774 0.4296 B
0.7500 0.9478 0.3774 B
0.7500 0.6226 0.5704 B
0.2500 0.5704 0.9478 B
0.7500 0.3333 0.6667 Pa
0.2500 0.6667 0.3333 Pa
```

Values from the calculation:
Density   14.2 g/cm3
Total magnetization   0.000 μB/cell
Crystal system   hexagonal

Arrangement Q

This record from Alexandria describes crystalline PaB3Ir3 at its relaxed geometry. The functional is PBE.

Cell and atoms, written as POSCAR:
```
PaB3Ir3
1.0
5.8913 0.0000 0.0000
0.0000 5.8913 0.0000
0.0000 0.0000 5.8913
B Ir Pa
6 6 2
direct
0.0000 0.5000 0.2500 B
0.7500 0.0000 0.5000 B
0.5000 0.2500 0.0000 B
0.5000 0.7500 0.0000 B
0.0000 0.5000 0.7500 B
0.2500 0.0000 0.5000 B
0.7500 0.5000 0.0000 Ir
0.5000 0.0000 0.2500 Ir
0.2500 0.5000 0.0000 Ir
0.0000 0.2500 0.5000 Ir
0.5000 0.0000 0.7500 Ir
0.0000 0.7500 0.5000 Ir
0.0000 0.0000 0.0000 Pa
0.5000 0.5000 0.5000 Pa
```

Values from the calculation:
Density   13.6 g/cm3
Total magnetization   2.785 μB/cell
Crystal system   cubic

Short version: arrangement Q is the least stable of them.

Arrangement P

This record from Alexandria describes crystalline PaBIr4 at its relaxed geometry. The functional is PBE.

Cell and atoms, written as POSCAR:
```
PaBIr4
1.0
4.1472 0.0000 -0.9079
0.0000 5.9572 0.0000
-0.4537 0.0000 7.7997
Pa Ir B
2 8 2
direct
0.3861 0.7500 0.7725 Pa
0.6139 0.2500 0.2275 Pa
0.8036 0.4928 0.6079 Ir
0.1964 0.5072 0.3921 Ir
0.5831 0.7500 0.1673 Ir
0.0000 0.5000 0.0000 Ir
0.1964 0.9928 0.3921 Ir
0.8036 0.0072 0.6079 Ir
0.4169 0.2500 0.8327 Ir
0.0000 0.0000 0.0000 Ir
0.8978 0.2500 0.7938 B
0.1022 0.7500 0.2062 B
```

Values from the calculation:
Density   17.6 g/cm3
Total magnetization   0.000 μB/cell
Crystal system   monoclinic

Arrangement Q

This record from Alexandria describes crystalline PaBIr4 at its relaxed geometry. The functional is PBE.

Cell and atoms, written as POSCAR:
```
PaBIr4
1.0
3.8252 0.0000 0.0000
0.0000 6.5877 0.0000
0.0000 0.0000 7.3132
Ir B Pa
8 2 2
direct
0.0000 0.0000 0.0000 Ir
0.5000 0.9334 0.7500 Ir
0.5000 0.0666 0.2500 Ir
0.5000 0.3007 0.5618 Ir
0.5000 0.6993 0.4382 Ir
0.5000 0.6993 0.0618 Ir
0.0000 0.0000 0.5000 Ir
0.5000 0.3007 0.9382 Ir
0.0000 0.1861 0.7500 B
0.0000 0.8139 0.2500 B
0.0000 0.6115 0.7500 Pa
0.0000 0.3885 0.2500 Pa
```

Values from the calculation:
Density   18.2 g/cm3
Total magnetization   0.000 μB/cell
Crystal system   orthorhombic

Short version: arrangement Q is the least stable of them.

Arrangement P

This record from Alexandria describes crystalline B3IrPb at its relaxed geometry. The functional is PBE.

Cell and atoms, written as POSCAR:
```
B3IrPb
1.0
-3.1753 -2.4757 1.8923
-1.0816 -1.6580 -3.9841
2.9223 -3.3036 0.5815
Pb B Ir
1 3 1
direct
0.0000 0.0000 0.0000 Pb
0.0000 0.0000 0.5000 B
0.0000 0.5000 0.0000 B
0.5000 0.0000 0.0000 B
0.5000 0.5000 0.5000 Ir
```

Values from the calculation:
Density   8.1 g/cm3
Total magnetization   0.000 μB/cell
Crystal system   cubic

Arrangement Q

This record from Alexandria describes crystalline B3IrPb at its relaxed geometry. The functional is PBE.

Cell and atoms, written as POSCAR:
```
B3IrPb
1.0
4.2288 0.0000 0.0000
0.0000 4.2288 0.0000
0.0000 0.0000 4.2288
Ir B Pb
1 3 1
direct
0.0000 0.0000 0.0000 Ir
0.5000 0.0000 0.0000 B
0.0000 0.5000 0.0000 B
0.0000 0.0000 0.5000 B
0.5000 0.5000 0.5000 Pb
```

Values from the calculation:
Density   9.5 g/cm3
Total magnetization   0.000 μB/cell
Crystal system   cubic

Short version: arrangement P is the least stable of them.

Arrangement P

This record from Alexandria describes crystalline BIrPb3 at its relaxed geometry. The functional is PBE.

Cell and atoms, written as POSCAR:
```
BIrPb3
1.0
5.2982 0.0000 0.0000
0.0000 5.2982 0.0000
0.0000 0.0000 5.2982
B Pb Ir
1 3 1
direct
0.5000 0.5000 0.5000 B
0.0000 0.5000 0.0000 Pb
0.0000 0.0000 0.5000 Pb
0.5000 0.0000 0.0000 Pb
0.0000 0.0000 0.0000 Ir
```

Values from the calculation:
Density   9.2 g/cm3
Total magnetization   0.000 μB/cell
Crystal system   cubic

Arrangement Q

This record from Alexandria describes crystalline BIrPb3 at its relaxed geometry. The functional is PBE.

Cell and atoms, written as POSCAR:
```
BIrPb3
1.0
-0.7361 -4.8176 0.2057
4.5468 -0.6242 1.6524
-1.6056 0.4410 4.5848
Pb B Ir
3 1 1
direct
0.5000 0.0000 0.0000 Pb
0.0000 0.0000 0.5000 Pb
0.0000 0.5000 0.0000 Pb
0.0000 0.0000 0.0000 B
0.5000 0.5000 0.5000 Ir
```

Values from the calculation:
Density   11.8 g/cm3
Total magnetization   0.000 μB/cell
Crystal system   cubic

Short version: arrangement P is the least stable of them.

Arrangement P

This record from Alexandria describes crystalline BIr3Pd at its relaxed geometry. The functional is PBE.

Cell and atoms, written as POSCAR:
```
BIr3Pd
1.0
-4.6208 -0.2642 -1.0758
1.0771 0.0071 -4.6280
0.2590 -4.7443 0.0530
Ir B Pd
3 1 1
direct
0.0000 0.0000 0.5000 Ir
0.0000 0.5000 0.0000 Ir
0.5000 0.0000 0.0000 Ir
0.5000 0.5000 0.5000 B
0.0000 0.0000 0.0000 Pd
```

Values from the calculation:
Density   10.7 g/cm3
Total magnetization   2.636 μB/cell
Crystal system   cubic

Arrangement Q

This record from Alexandria describes crystalline BIr3Pd at its relaxed geometry. The functional is PBE.

Cell and atoms, written as POSCAR:
```
BIr3Pd
1.0
4.1136 0.0000 0.0000
0.0000 4.1136 0.0000
0.0000 0.0000 4.1136
Ir Pd B
3 1 1
direct
0.0000 0.0000 0.5000 Ir
0.0000 0.5000 0.0000 Ir
0.5000 0.0000 0.0000 Ir
0.5000 0.5000 0.5000 Pd
0.0000 0.0000 0.0000 B
```

Values from the calculation:
Density   16.6 g/cm3
Total magnetization   0.000 μB/cell
Crystal system   cubic

Short version: arrangement P is the least stable of them.

Arrangement P

This record from Alexandria describes crystalline BIrPd3 at its relaxed geometry. The functional is PBE.

Cell and atoms, written as POSCAR:
```
BIrPd3
1.0
4.1384 0.0000 0.0000
0.0000 4.1384 0.0000
0.0000 0.0000 4.1384
Pd Ir B
3 1 1
direct
0.5000 0.0000 0.0000 Pd
0.0000 0.0000 0.5000 Pd
0.0000 0.5000 0.0000 Pd
0.5000 0.5000 0.5000 Ir
0.0000 0.0000 0.0000 B
```

Values from the calculation:
Density   12.2 g/cm3
Total magnetization   0.000 μB/cell
Crystal system   cubic

Arrangement Q

This record from Alexandria describes crystalline BIrPd3 at its relaxed geometry. The functional is PBE.

Cell and atoms, written as POSCAR:
```
BIrPd3
1.0
-0.8577 2.1349 4.2598
-4.5421 -1.6740 -0.0756
1.4396 -4.0099 2.2995
Ir B Pd
1 1 3
direct
0.0000 0.0000 0.0000 Ir
0.5000 0.5000 0.5000 B
0.0000 0.0000 0.5000 Pd
0.5000 0.0000 0.0000 Pd
0.0000 0.5000 0.0000 Pd
```

Values from the calculation:
Density   7.6 g/cm3
Total magnetization   0.037 μB/cell
Crystal system   cubic

Short version: arrangement Q is the least stable of them.